A relaxed HoAg crystal, computed with PBE.

Energy of formation (eV per atom): -0.0686
Crystal system: hexagonal

abc: 3.409 3.409 4.791
angles: 90.00 90.00 120.00
Fractional coordinates of all 2 atoms:
Ag  0.667  0.333  0.750
Ho  0.333  0.667  0.250



A relaxed HoAg crystal, computed with PBE.

Energy of formation (eV per atom): 0.4610
Crystal system: cubic

abc: 4.569 4.569 4.569
angles: 60.00 60.00 60.00
Fractional coordinates of all 2 atoms:
Ag  0.000  0.000  0.000
Ho  0.250  0.250  0.250



A relaxed HoAg2 crystal, computed with PBE.

Energy of formation (eV per atom): -0.3358
Crystal system: tetragonal

abc: 3.703 3.703 9.200
angles: 90.00 90.00 90.00
Fractional coordinates of all 6 atoms:
Ag  0.000  0.000  0.170
Ag  0.500  0.500  0.330
Ag  0.500  0.500  0.669
Ag  0.000  0.000  0.831
Ho  0.500  0.500  0.000
Ho  0.000  0.000  0.500



A relaxed HoAg crystal, computed with PBE.

Energy of formation (eV per atom): -0.0625
Crystal system: hexagonal

abc: 4.064 4.064 7.142
angles: 90.00 90.00 120.00
Fractional coordinates of all 4 atoms:
Ag  0.667  0.333  0.250
Ag  0.333  0.667  0.750
Ho  0.000  0.000  0.000
Ho  0.000  0.000  0.500



A relaxed Rb2HoAgI6 crystal, computed with PBE.

Final energy (eV/atom): -3.03
Crystal system: tetragonal

abc: 8.528 8.528 8.528
angles: 120.05 120.05 89.91
Fractional coordinates of all 10 atoms:
Ag  0.500  0.500  0.000
Ho  0.000  0.000  0.000
I  0.249  0.249  0.000
I  0.751  0.249  0.000
I  0.249  0.751  0.000
I  0.751  0.751  0.000
I  0.249  0.249  0.499
I  0.751  0.751  0.501
Rb  0.750  0.250  0.500
Rb  0.250  0.750  0.500



A relaxed Ho3In3AgIr2 crystal, computed with PBE.

Final energy (eV/atom): -5.33
Crystal system: orthorhombic

abc: 3.810 7.714 7.714
angles: 119.93 90.00 90.00
Fractional coordinates of all 9 atoms:
Ag  0.000  0.000  0.000
Ho  0.000  0.412  0.000
Ho  0.000  0.000  0.412
Ho  0.000  0.588  0.588
In  0.500  0.269  0.269
In  0.500  0.000  0.731
In  0.500  0.731  0.000
Ir  0.500  0.666  0.334
Ir  0.500  0.334  0.666



A relaxed Ho3In3AgIr2 crystal, computed with PBE.

Final energy (eV/atom): -5.33
Crystal system: hexagonal

abc: 7.676 7.676 3.839
angles: 90.00 90.00 120.00
Fractional coordinates of all 9 atoms:
Ag  0.000  0.000  0.000
Ho  0.413  0.000  0.000
Ho  0.000  0.413  0.000
Ho  0.587  0.587  0.000
In  0.732  0.000  0.500
In  0.268  0.268  0.500
In  0.000  0.732  0.500
Ir  0.667  0.333  0.500
Ir  0.333  0.667  0.500



A relaxed Ho3MgIn3AgIr crystal, computed with PBE.

Final energy (eV/atom): -4.43
Crystal system: hexagonal

abc: 8.073 8.073 3.721
angles: 90.00 90.00 120.00
Fractional coordinates of all 9 atoms:
Ag  0.000  0.000  0.000
Ho  0.420  0.044  0.000
Ho  0.956  0.376  0.000
Ho  0.624  0.580  0.000
In  0.265  0.278  0.500
In  0.013  0.735  0.500
In  0.722  0.987  0.500
Ir  0.667  0.333  0.500
Mg  0.333  0.667  0.500



A relaxed Ho3Mg2InAgIr2 crystal, computed with PBE.

Final energy (eV/atom): -5.03
Crystal system: orthorhombic

abc: 3.923 7.511 7.511
angles: 119.58 90.00 90.00
Fractional coordinates of all 9 atoms:
Ag  0.000  0.012  0.012
Ho  0.000  0.422  0.422
Ho  0.000  0.994  0.580
Ho  0.000  0.580  0.994
In  0.500  0.744  0.744
Ir  0.500  0.662  0.326
Ir  0.500  0.326  0.662
Mg  0.500  0.999  0.259
Mg  0.500  0.259  0.999



A relaxed Ho3MgIn2AgIr2 crystal, computed with PBE.

Final energy (eV/atom): -5.18
Crystal system: orthorhombic

abc: 3.870 7.620 7.620
angles: 120.20 90.00 90.00
Fractional coordinates of all 9 atoms:
Ag  0.000  0.990  0.990
Ho  0.000  0.586  0.004
Ho  0.000  0.413  0.413
Ho  0.000  0.004  0.586
In  0.500  0.264  0.000
In  0.500  0.000  0.264
Ir  0.500  0.669  0.339
Ir  0.500  0.339  0.669
Mg  0.500  0.736  0.736



A relaxed Ho3In3AgIrPt crystal, computed with PBE.

Final energy (eV/atom): -5.13
Crystal system: hexagonal

abc: 7.779 7.779 3.767
angles: 90.00 90.00 120.00
Fractional coordinates of all 9 atoms:
Ag  0.000  0.000  0.000
Ho  0.416  0.011  0.000
Ho  0.989  0.405  0.000
Ho  0.595  0.584  0.000
In  0.269  0.270  0.500
In  0.001  0.731  0.500
In  0.730  0.999  0.500
Ir  0.667  0.333  0.500
Pt  0.333  0.667  0.500



A relaxed Tb2HoIn3AgIr2 crystal, computed with PBE.

Final energy (eV/atom): -5.34
Crystal system: orthorhombic

abc: 3.854 7.710 7.710
angles: 119.98 90.00 90.00
Fractional coordinates of all 9 atoms:
Ag  0.000  0.000  0.000
Ho  0.000  0.413  0.413
In  0.500  0.268  0.000
In  0.500  0.000  0.268
In  0.500  0.732  0.732
Ir  0.500  0.666  0.333
Ir  0.500  0.333  0.666
Tb  0.000  0.587  0.000
Tb  0.000  0.000  0.587



A relaxed HoTm2In3AgIr2 crystal, computed with PBE.

Final energy (eV/atom): -5.31
Crystal system: orthorhombic

abc: 3.785 7.704 7.704
angles: 120.17 90.00 90.00
Fractional coordinates of all 9 atoms:
Ag  0.000  0.000  0.000
Ho  0.000  0.588  0.588
In  0.500  0.730  0.000
In  0.500  0.270  0.270
In  0.500  0.000  0.730
Ir  0.500  0.667  0.332
Ir  0.500  0.332  0.667
Tm  0.000  0.412  0.000
Tm  0.000  0.000  0.412



A relaxed LaHo2In3AgPd2 crystal, computed with PBE.

Final energy (eV/atom): -4.62
Crystal system: orthorhombic

abc: 3.855 7.879 7.879
angles: 120.19 90.00 90.00
Fractional coordinates of all 9 atoms:
Ag  0.500  0.998  0.998
Ho  0.500  0.000  0.591
Ho  0.500  0.591  0.000
In  0.000  0.994  0.266
In  0.000  0.739  0.739
In  0.000  0.266  0.994
La  0.500  0.411  0.411
Pd  0.000  0.671  0.331
Pd  0.000  0.331  0.671



A relaxed La2HoIn3AgPd2 crystal, computed with PBE.

Final energy (eV/atom): -4.67
Crystal system: orthorhombic

abc: 4.008 7.877 7.877
angles: 120.00 90.00 90.00
Fractional coordinates of all 9 atoms:
Ag  0.000  0.002  0.002
Ho  0.000  0.411  0.411
In  0.500  0.262  0.008
In  0.500  0.008  0.262
In  0.500  0.733  0.733
La  0.000  0.587  0.001
La  0.000  0.001  0.587
Pd  0.500  0.661  0.336
Pd  0.500  0.336  0.661



A relaxed LiHoInAg crystal, computed with PBE.

Final energy (eV/atom): -3.40
Crystal system: cubic

abc: 4.858 4.858 4.858
angles: 60.00 60.00 60.00
Fractional coordinates of all 4 atoms:
Ag  0.500  0.500  0.500
Ho  0.250  0.250  0.250
In  0.750  0.750  0.750
Li  0.000  0.000  0.000



A relaxed HoLu2In3AgPt2 crystal, computed with PBE.

Final energy (eV/atom): -4.90
Crystal system: orthorhombic

abc: 3.713 7.791 7.791
angles: 120.20 90.00 90.00
Fractional coordinates of all 9 atoms:
Ag  0.000  0.999  0.999
Ho  0.000  0.409  0.409
In  0.500  0.999  0.270
In  0.500  0.731  0.731
In  0.500  0.270  0.999
Lu  0.000  0.591  0.000
Lu  0.000  0.000  0.591
Pt  0.500  0.669  0.333
Pt  0.500  0.333  0.669



A relaxed Ho2LuIn3AgPt2 crystal, computed with PBE.

Final energy (eV/atom): -4.91
Crystal system: orthorhombic

abc: 3.734 7.791 7.791
angles: 119.80 90.00 90.00
Fractional coordinates of all 9 atoms:
Ag  0.000  0.001  0.001
Ho  0.000  0.591  0.000
Ho  0.000  0.000  0.591
In  0.500  0.269  0.001
In  0.500  0.001  0.269
In  0.500  0.729  0.729
Lu  0.000  0.410  0.410
Pt  0.500  0.664  0.334
Pt  0.500  0.334  0.664



A relaxed Ho3Mg3In2Ag crystal, computed with PBE.

Final energy (eV/atom): -3.33
Crystal system: hexagonal

abc: 7.521 7.521 4.507
angles: 90.00 90.00 120.00
Fractional coordinates of all 9 atoms:
Ag  0.000  0.000  0.000
Ho  0.584  0.000  0.000
Ho  0.416  0.416  0.000
Ho  0.000  0.584  0.000
In  0.667  0.333  0.500
In  0.333  0.667  0.500
Mg  0.238  0.000  0.500
Mg  0.000  0.238  0.500
Mg  0.762  0.762  0.500



A relaxed Ho3Mg3InAg2 crystal, computed with PBE.

Final energy (eV/atom): -3.24
Crystal system: hexagonal

abc: 7.459 7.459 4.499
angles: 90.00 90.00 120.00
Fractional coordinates of all 9 atoms:
Ag  0.667  0.333  0.500
Ag  0.333  0.667  0.500
Ho  0.575  0.000  0.000
Ho  0.425  0.425  0.000
Ho  0.000  0.575  0.000
In  0.000  0.000  0.000
Mg  0.248  0.000  0.500
Mg  0.000  0.248  0.500
Mg  0.752  0.752  0.500